Compound: Nd2SmErSe6
Source: Alexandria
Functional: PBE
Structure: relaxed

Cell: 7.3802 7.3803 7.8157 Å, 61.82 61.82 59.99°
Positions (direct):
Nd  0.5180  0.5180  0.4461
Nd  0.0196  0.0197  0.9411
Sm  0.3169  0.3168  0.0495
Er  0.8190  0.8191  0.5428
Se  0.6117  0.2056  0.2580
Se  0.2055  0.9247  0.2579
Se  0.9248  0.6117  0.2580
Se  0.4347  0.7101  0.7539
Se  0.7101  0.1012  0.7539
Se  0.1012  0.4348  0.7540

- DOS at the Fermi energy: 0.0 states/eV/f.u.
- Space-group type: R3 (146)
- ΔE_f (raw): -18.397 eV per formula unit
- Crystal system: trigonal